1.
An optimized crystal structure of EuDyIn2, computed with GGA-PBE.

```
EuDyIn2
1.0
3.851 0.000 0.000
0.000 3.851 0.000
0.000 0.000 7.704
Eu In Dy
1 2 1
direct
0.500 0.500 0.500 Eu
0.000 0.000 0.231 In
0.000 0.000 0.769 In
0.500 0.500 0.000 Dy
```

E above lowest polymorph (meV per atom): 0
Density of states at the Fermi level (states/eV/atom): 2.05
Size of the total moment (μB/cell): 7.152
ΔH_f (0 K) (eV/f.u.): -1.89
Calculated total energy (eV/atom): -5.56
Density (g/cm³): 7.91



2.
An optimized crystal structure of Eu2DyIn, computed with GGA-PBE.

```
Eu2DyIn
1.0
3.697 0.000 0.000
0.000 3.697 0.000
0.000 0.000 9.799
In Dy Eu
1 1 2
direct
0.500 0.500 0.000 In
0.500 0.500 0.500 Dy
0.000 0.000 0.226 Eu
0.000 0.000 0.774 Eu
```

E above lowest polymorph (meV per atom): 52
Density of states at the Fermi level (states/eV/atom): 1.20
Size of the total moment (μB/cell): 15.492
ΔH_f (0 K) (eV/f.u.): -0.58
Calculated total energy (eV/atom): -7.12
Density (g/cm³): 7.21



3.
An optimized crystal structure of EuDyIn2, computed with GGA-PBE.

```
EuDyIn2
1.0
-1.608 -2.201 2.536
1.833 -2.955 1.330
3.923 4.004 8.696
Eu In Dy
1 2 1
direct
0.500 0.500 0.500 Eu
0.253 0.253 0.241 In
0.747 0.747 0.759 In
0.000 0.000 0.000 Dy
```

E above lowest polymorph (meV per atom): 184
Density of states at the Fermi level (states/eV/atom): 2.02
Size of the total moment (μB/cell): 7.260
ΔH_f (0 K) (eV/f.u.): -1.16
Calculated total energy (eV/atom): -5.38
Density (g/cm³): 7.44



4.
An optimized crystal structure of EuDyIn2, computed with GGA-PBE.

```
EuDyIn2
1.0
-0.243 3.564 -4.100
2.658 -1.004 -4.637
-2.774 -1.232 -4.513
Dy In Eu
1 2 1
direct
0.500 0.500 0.500 Dy
0.250 0.250 0.250 In
0.750 0.750 0.750 In
0.000 0.000 0.000 Eu
```

E above lowest polymorph (meV per atom): 31
Density of states at the Fermi level (states/eV/atom): 2.13
Size of the total moment (μB/cell): 7.193
ΔH_f (0 K) (eV/f.u.): -1.77
Calculated total energy (eV/atom): -5.53
Density (g/cm³): 7.94



5.
An optimized crystal structure of EuDyIn4, computed with GGA-PBE.

```
EuDyIn4
1.0
6.082 0.000 0.000
3.041 5.267 0.000
3.041 1.756 4.966
In Dy Eu
4 1 1
direct
0.625 0.125 0.625 In
0.125 0.625 0.625 In
0.625 0.625 0.125 In
0.625 0.625 0.625 In
0.250 0.250 0.250 Dy
0.000 0.000 0.000 Eu
```

Density of states at the Fermi level (states/eV/atom): 1.52
Size of the total moment (μB/cell): 7.600
ΔH_f (0 K) (eV/f.u.): -2.11
Calculated total energy (eV/atom): -4.66
Density (g/cm³): 8.08



6.
An optimized crystal structure of EuDyIn, computed with GGA-PBE.

```
EuDyIn
1.0
3.750 0.000 0.000
0.000 3.750 0.000
-1.875 -1.875 6.706
In Eu Dy
1 1 1
direct
0.625 0.625 0.250 In
0.963 0.963 0.927 Eu
0.262 0.262 0.524 Dy
```

E above lowest polymorph (meV per atom): 0
Density of states at the Fermi level (states/eV/atom): 1.13
Size of the total moment (μB/cell): 7.866
ΔH_f (0 K) (eV/f.u.): -0.76
Calculated total energy (eV/atom): -6.13
Density (g/cm³): 7.56



7.
An optimized crystal structure of LaEuDyIn, computed with GGA-PBE.

```
LaEuDyIn
1.0
5.618 0.000 0.000
2.809 4.865 0.000
2.809 1.622 4.587
In Eu Dy La
1 1 1 1
direct
0.000 0.000 0.000 In
0.500 0.500 0.500 Eu
0.750 0.750 0.750 Dy
0.250 0.250 0.250 La
```

Density of states at the Fermi level (states/eV/atom): 1.48
Size of the total moment (μB/cell): 7.678
ΔH_f (0 K) (eV/f.u.): -0.62
Calculated total energy (eV/atom): -5.79
Density (g/cm³): 7.53



8.
An optimized crystal structure of LiEuDyIn, computed with GGA-PBE.

```
LiEuDyIn
1.0
-2.409 -4.830 -0.490
2.918 -4.358 -1.365
0.945 -3.884 3.660
Li Dy Eu In
1 1 1 1
direct
0.000 0.000 0.000 Li
0.250 0.250 0.250 Dy
0.750 0.750 0.750 Eu
0.500 0.500 0.500 In
```

Density of states at the Fermi level (states/eV/atom): 2.40
Size of the total moment (μB/cell): 7.188
ΔH_f (0 K) (eV/f.u.): -0.88
Calculated total energy (eV/atom): -5.10
Density (g/cm³): 6.44



9.
An optimized crystal structure of EuDyLuIn, computed with GGA-PBE.

```
EuDyLuIn
1.0
-0.162 0.897 -5.392
-3.875 -2.363 -3.050
-4.014 3.029 -2.149
In Eu Dy Lu
1 1 1 1
direct
0.750 0.750 0.750 In
0.250 0.250 0.250 Eu
0.500 0.500 0.500 Dy
0.000 0.000 0.000 Lu
```

Density of states at the Fermi level (states/eV/atom): 1.27
Size of the total moment (μB/cell): 7.413
ΔH_f (0 K) (eV/f.u.): -0.36
Calculated total energy (eV/atom): -5.62
Density (g/cm³): 8.68



10.
An optimized crystal structure of NdEuDyIn, computed with GGA-PBE.

```
NdEuDyIn
1.0
5.574 0.000 0.000
2.787 4.827 0.000
2.787 1.609 4.551
In Eu Nd Dy
1 1 1 1
direct
0.250 0.250 0.250 In
0.750 0.750 0.750 Eu
0.000 0.000 0.000 Nd
0.500 0.500 0.500 Dy
```

Density of states at the Fermi level (states/eV/atom): 1.37
Size of the total moment (μB/cell): 7.499
ΔH_f (0 K) (eV/f.u.): -0.56
Calculated total energy (eV/atom): -5.74
Density (g/cm³): 7.78



11.
An optimized crystal structure of EuDyInPb, computed with GGA-PBE.

```
EuDyInPb
1.0
-5.083 -1.434 1.493
-3.771 -1.122 -3.827
-1.721 -5.160 -0.728
In Pb Eu Dy
1 1 1 1
direct
0.250 0.250 0.250 In
0.750 0.750 0.750 Pb
0.000 0.000 0.000 Eu
0.500 0.500 0.500 Dy
```

Density of states at the Fermi level (states/eV/atom): 0.49
Size of the total moment (μB/cell): 7.172
ΔH_f (0 K) (eV/f.u.): -1.74
Calculated total energy (eV/atom): -5.77
Density (g/cm³): 9.04



12.
An optimized crystal structure of PrEuDyIn, computed with GGA-PBE.

```
PrEuDyIn
1.0
5.591 0.000 0.000
2.796 4.842 0.000
2.796 1.614 4.565
Dy Eu In Pr
1 1 1 1
direct
0.250 0.250 0.250 Dy
0.000 0.000 0.000 Eu
0.500 0.500 0.500 In
0.750 0.750 0.750 Pr
```

Density of states at the Fermi level (states/eV/atom): 1.39
Size of the total moment (μB/cell): 7.494
ΔH_f (0 K) (eV/f.u.): -0.57
Calculated total energy (eV/atom): -5.74
Density (g/cm³): 7.66



13.
An optimized crystal structure of EuDyInRu, computed with GGA-PBE.

```
EuDyInRu
1.0
5.130 0.000 0.000
2.565 4.443 0.000
2.565 1.481 4.189
Eu In Ru Dy
1 1 1 1
direct
0.500 0.500 0.500 Eu
0.250 0.250 0.250 In
0.750 0.750 0.750 Ru
0.000 0.000 0.000 Dy
```

Density of states at the Fermi level (states/eV/atom): 1.34
Size of the total moment (μB/cell): 6.563
ΔH_f (0 K) (eV/f.u.): -0.55
Calculated total energy (eV/atom): -6.86
Density (g/cm³): 9.23



14.
An optimized crystal structure of SmEuDyIn, computed with GGA-PBE.

```
SmEuDyIn
1.0
-5.266 -0.293 -1.716
-3.443 -3.729 2.238
-4.102 1.666 3.341
In Eu Dy Sm
1 1 1 1
direct
0.250 0.250 0.250 In
0.750 0.750 0.750 Eu
0.000 0.000 0.000 Dy
0.500 0.500 0.500 Sm
```

Density of states at the Fermi level (states/eV/atom): 1.33
Size of the total moment (μB/cell): 7.496
ΔH_f (0 K) (eV/f.u.): -0.54
Calculated total energy (eV/atom): -5.72
Density (g/cm³): 7.98



15.
An optimized crystal structure of EuDyInSn, computed with GGA-PBE.

```
EuDyInSn
1.0
-0.352 3.316 -4.281
2.088 -1.505 -4.777
-3.293 -1.242 -4.130
Sn Dy In Eu
1 1 1 1
direct
0.500 0.500 0.500 Sn
0.750 0.750 0.750 Dy
0.000 0.000 0.000 In
0.250 0.250 0.250 Eu
```

Density of states at the Fermi level (states/eV/atom): 0.51
Size of the total moment (μB/cell): 7.144
ΔH_f (0 K) (eV/f.u.): -2.07
Calculated total energy (eV/atom): -5.92
Density (g/cm³): 8.06



16.
An optimized crystal structure of TbEuDyIn, computed with GGA-PBE.

```
TbEuDyIn
1.0
5.514 0.000 0.000
2.757 4.775 0.000
2.757 1.592 4.502
Tb Eu In Dy
1 1 1 1
direct
0.000 0.000 0.000 Tb
0.750 0.750 0.750 Eu
0.250 0.250 0.250 In
0.500 0.500 0.500 Dy
```

Density of states at the Fermi level (states/eV/atom): 1.26
Size of the total moment (μB/cell): 7.483
ΔH_f (0 K) (eV/f.u.): -0.49
Calculated total energy (eV/atom): -5.68
Density (g/cm³): 8.24



17.
An optimized crystal structure of EuDyThIn, computed with GGA-PBE.

```
EuDyThIn
1.0
-1.279 5.330 0.779
-2.958 2.722 -3.807
-5.229 1.463 1.083
Th Dy Eu In
1 1 1 1
direct
0.250 0.250 0.250 Th
0.750 0.750 0.750 Dy
0.000 0.000 0.000 Eu
0.500 0.500 0.500 In
```

Density of states at the Fermi level (states/eV/atom): 1.76
Size of the total moment (μB/cell): 7.808
ΔH_f (0 K) (eV/f.u.): -0.07
Calculated total energy (eV/atom): -6.28
Density (g/cm³): 9.15



18.
An optimized crystal structure of EuDyTlIn, computed with GGA-PBE.

```
EuDyTlIn
1.0
5.469 0.000 0.000
2.734 4.736 0.000
2.734 1.579 4.465
Tl In Dy Eu
1 1 1 1
direct
0.000 0.000 0.000 Tl
0.500 0.500 0.500 In
0.750 0.750 0.750 Dy
0.250 0.250 0.250 Eu
```

Density of states at the Fermi level (states/eV/atom): 2.21
Size of the total moment (μB/cell): 7.260
ΔH_f (0 K) (eV/f.u.): -1.59
Calculated total energy (eV/atom): -5.39
Density (g/cm³): 9.10



19.
An optimized crystal structure of EuDyTmIn, computed with GGA-PBE.

```
EuDyTmIn
1.0
5.481 0.000 0.000
2.741 4.747 0.000
2.741 1.582 4.475
Dy Tm Eu In
1 1 1 1
direct
0.250 0.250 0.250 Dy
0.750 0.750 0.750 Tm
0.000 0.000 0.000 Eu
0.500 0.500 0.500 In
```

Density of states at the Fermi level (states/eV/atom): 1.25
Size of the total moment (μB/cell): 7.448
ΔH_f (0 K) (eV/f.u.): -0.40
Calculated total energy (eV/atom): -5.62
Density (g/cm³): 8.53



20.
An optimized crystal structure of EuDyYIn, computed with GGA-PBE.

```
EuDyYIn
1.0
-1.808 0.274 -5.203
2.698 -2.670 -4.001
-2.266 -4.435 -2.369
In Dy Eu Y
1 1 1 1
direct
0.750 0.750 0.750 In
0.500 0.500 0.500 Dy
0.250 0.250 0.250 Eu
0.000 0.000 0.000 Y
```

Density of states at the Fermi level (states/eV/atom): 1.33
Size of the total moment (μB/cell): 7.524
ΔH_f (0 K) (eV/f.u.): -0.51
Calculated total energy (eV/atom): -6.15
Density (g/cm³): 7.25